Record 1
Computed, not measured: a relaxed Sm2Er3Th crystal at the PBE-GGA level of DFT.

D(E_F)   1.242 states/eV/atom
Uncorrected energy   -58.26 eV per cell
Space-group type   Cmc2_1, No. 36
ΔH_f (0 K)   0.24 eV/atom
Crystal system   orthorhombic

abc: 6.819 7.760 7.760
angles: 74.63 90.00 90.00
Element x y z (fractional)
Er 0.577 0.212 0.556
Er 0.077 0.444 0.788
Er 0.077 0.788 0.444
Er 0.577 0.556 0.212
Er 0.325 0.854 0.854
Er 0.825 0.146 0.146
Th 0.827 0.855 0.855
Th 0.327 0.145 0.145
Sm 0.576 0.824 0.477
Sm 0.076 0.176 0.523
Sm 0.576 0.477 0.824
Sm 0.076 0.523 0.176



Record 2
Computed, not measured: a relaxed Ac12Pr5Nd2 crystal at the PBE-GGA level of DFT.

D(E_F)   1.562 states/eV/atom
Uncorrected energy   -79.68 eV per cell
Space-group type   C2/m, No. 12
ΔH_f (0 K)   0.16 eV/atom
Crystal system   monoclinic

abc: 7.558 10.059 11.844
angles: 102.60 90.00 112.07
Element x y z (fractional)
Ac 0.436 0.871 0.681
Ac 0.107 0.214 0.825
Ac 0.933 0.363 0.588
Ac 0.570 0.637 0.412
Ac 0.545 0.608 0.882
Ac 0.564 0.129 0.319
Ac 0.063 0.608 0.882
Ac 0.067 0.637 0.412
Ac 0.937 0.392 0.118
Ac 0.455 0.392 0.118
Ac 0.893 0.786 0.175
Ac 0.430 0.363 0.588
Nd 0.267 0.000 0.000
Nd 0.733 0.000 0.000
Pr 0.626 0.251 0.838
Pr 0.895 0.790 0.705
Pr 0.105 0.210 0.295
Pr 0.000 0.000 0.500
Pr 0.374 0.749 0.162



Record 3
Computed, not measured: a relaxed RbRe3Pt crystal at the PBE-GGA level of DFT.

D(E_F)   1.415 states/eV/atom
Uncorrected energy   -31.88 eV per cell
Space-group type   Pm-3m, No. 221
ΔH_f (0 K)   2.49 eV/atom
Crystal system   cubic

abc: 4.927 4.927 4.927
angles: 90.00 90.00 90.00
Each line ends with the local moment (μB).
Element x y z (fractional)
Re 0.500 0.000 0.000  0.73
Re 0.000 0.000 0.500  1.01
Re 0.000 0.500 0.000  1.00
Rb 0.500 0.500 0.500  0.02
Pt 0.000 0.000 0.000  0.03